w) This record from the Alexandria database describes CaBe2Cl at its PBEsol-relaxed geometry. The functional is SCAN.

* DOS at the Fermi energy: 4.2 states/eV per cell
* mass density: 1.770 g/cm³
* spin magnetization: 0.00 μB per formula unit
* crystal system: orthorhombic

a b c (Å): 4.072 5.171 8.338
angles (deg): 90.00 90.00 90.00
Element x y z (fractional)
Ca 0.000 0.000 0.000
Ca 0.500 0.500 0.500
Be 0.000 0.000 0.658
Be 0.000 0.500 0.210
Be 0.500 0.000 0.710
Be 0.500 0.500 0.158
Cl 0.000 0.500 0.719
Cl 0.500 0.000 0.219

---

x) This record from the Alexandria database describes CaBe2Cl at its PBEsol-relaxed geometry. The functional is SCAN.

* DOS at the Fermi energy: 1.5 states/eV per cell
* mass density: 2.061 g/cm³
* spin magnetization: 0.59 μB per formula unit
* crystal system: orthorhombic

a b c (Å): 3.103 4.095 5.931
angles (deg): 90.00 90.00 90.00
Element x y z (fractional)
Ca 0.000 0.000 0.000
Be 0.000 0.500 0.500
Be 0.500 0.000 0.500
Cl 0.500 0.500 0.000

---

y) This record from the Alexandria database describes CaBe2Cl at its PBEsol-relaxed geometry. The functional is SCAN.

* DOS at the Fermi energy: 8.2 states/eV per cell
* mass density: 1.956 g/cm³
* spin magnetization: 0.00 μB per formula unit
* crystal system: cubic

a b c (Å): 6.823 6.823 6.823
angles (deg): 90.00 90.00 90.00
Element x y z (fractional)
Ca 0.000 0.000 0.000
Ca 0.000 0.500 0.500
Ca 0.500 0.000 0.500
Ca 0.500 0.500 0.000
Be 0.250 0.250 0.250
Be 0.250 0.250 0.750
Be 0.250 0.750 0.250
Be 0.250 0.750 0.750
Be 0.750 0.250 0.250
Be 0.750 0.250 0.750
Be 0.750 0.750 0.250
Be 0.750 0.750 0.750
Cl 0.000 0.000 0.500
Cl 0.000 0.500 0.000
Cl 0.500 0.000 0.000
Cl 0.500 0.500 0.500

---

Result of the stability comparison: x) is the most stable of them.

---

w) This record from the Alexandria database describes Ca2BeCl at its PBEsol-relaxed geometry. The functional is SCAN.

* DOS at the Fermi energy: 1.9 states/eV per cell
* mass density: 2.068 g/cm³
* spin magnetization: 0.50 μB per formula unit
* crystal system: monoclinic

a b c (Å): 3.677 3.454 7.881
angles (deg): 90.00 90.06 90.00
Element x y z (fractional)
Ca 0.000 0.000 0.219
Ca 0.000 0.000 0.781
Be 0.500 0.500 0.000
Cl 0.000 0.500 0.500

---

x) This record from the Alexandria database describes Ca2BeCl at its PBEsol-relaxed geometry. The functional is SCAN.

* DOS at the Fermi energy: 6.1 states/eV per cell
* mass density: 1.913 g/cm³
* spin magnetization: 0.00 μB per formula unit
* crystal system: tetragonal

a b c (Å): 7.345 7.345 8.020
angles (deg): 90.00 90.00 90.00
Element x y z (fractional)
Ca 0.244 0.250 0.125
Ca 0.250 0.744 0.375
Ca 0.250 0.756 0.875
Ca 0.256 0.250 0.625
Ca 0.744 0.750 0.625
Ca 0.750 0.244 0.875
Ca 0.750 0.256 0.375
Ca 0.756 0.750 0.125
Be 0.000 0.000 0.500
Be 0.000 0.500 0.750
Be 0.500 0.000 0.250
Be 0.500 0.500 0.000
Cl 0.000 0.000 0.000
Cl 0.000 0.500 0.250
Cl 0.500 0.000 0.750
Cl 0.500 0.500 0.500

---

Result of the stability comparison: w) is the most stable of them.

---

w) This record from the Alexandria database describes KCaBe2 at its PBEsol-relaxed geometry. The functional is SCAN.

* DOS at the Fermi energy: 15.6 states/eV per cell
* mass density: 1.652 g/cm³
* spin magnetization: 0.00 μB per formula unit
* crystal system: cubic

a b c (Å): 7.311 7.311 7.311
angles (deg): 90.00 90.00 90.00
Element x y z (fractional)
K 0.000 0.000 0.000
K 0.000 0.500 0.500
K 0.500 0.000 0.500
K 0.500 0.500 0.000
Ca 0.000 0.000 0.500
Ca 0.000 0.500 0.000
Ca 0.500 0.000 0.000
Ca 0.500 0.500 0.500
Be 0.250 0.250 0.250
Be 0.250 0.250 0.750
Be 0.250 0.750 0.250
Be 0.250 0.750 0.750
Be 0.750 0.250 0.250
Be 0.750 0.250 0.750
Be 0.750 0.750 0.250
Be 0.750 0.750 0.750

---

x) This record from the Alexandria database describes KCaBe2 at its PBEsol-relaxed geometry. The functional is SCAN.

* DOS at the Fermi energy: 2.6 states/eV per cell
* mass density: 1.377 g/cm³
* spin magnetization: 0.01 μB per formula unit
* crystal system: monoclinic

a b c (Å): 4.037 4.091 7.381
angles (deg): 90.00 105.95 90.00
Element x y z (fractional)
K 0.000 0.000 0.000
Ca 0.266 0.500 0.532
Be 0.635 0.500 0.273
Be 0.678 0.000 0.357

---

Result of the stability comparison: x) is the most stable of them.

---

w) This record from the Alexandria database describes CaBeP at its PBEsol-relaxed geometry. The functional is SCAN.

* DOS at the Fermi energy: 1.1 states/eV per cell
* mass density: 2.670 g/cm³
* spin magnetization: 0.01 μB per formula unit
* crystal system: hexagonal

a b c (Å): 3.709 3.709 4.179
angles (deg): 90.00 90.00 120.00
Element x y z (fractional)
Ca 0.000 0.000 0.000
Be 0.667 0.333 0.500
P 0.333 0.667 0.500

---

x) This record from the Alexandria database describes CaBeP at its PBEsol-relaxed geometry. The functional is SCAN.

* DOS at the Fermi energy: 4.9 states/eV per cell
* mass density: 2.120 g/cm³
* spin magnetization: 0.00 μB per formula unit
* crystal system: cubic

a b c (Å): 6.306 6.306 6.306
angles (deg): 90.00 90.00 90.00
Element x y z (fractional)
Ca 0.000 0.000 0.000
Ca 0.000 0.500 0.500
Ca 0.500 0.000 0.500
Ca 0.500 0.500 0.000
Be 0.250 0.250 0.250
Be 0.250 0.750 0.750
Be 0.750 0.250 0.750
Be 0.750 0.750 0.250
P 0.250 0.250 0.750
P 0.250 0.750 0.250
P 0.750 0.250 0.250
P 0.750 0.750 0.750

---

Result of the stability comparison: w) is the most stable of them.

---

w) This record from the Alexandria database describes CaBe2Pt at its PBEsol-relaxed geometry. The functional is SCAN.

* DOS at the Fermi energy: 1.7 states/eV per cell
* mass density: 6.949 g/cm³
* spin magnetization: 0.00 μB per formula unit
* crystal system: tetragonal

a b c (Å): 3.895 3.895 3.988
angles (deg): 90.00 90.00 90.00
Element x y z (fractional)
Ca 0.000 0.000 0.000
Be 0.000 0.500 0.500
Be 0.500 0.000 0.500
Pt 0.500 0.500 0.000

---

x) This record from the Alexandria database describes CaBe2Pt at its PBEsol-relaxed geometry. The functional is SCAN.

* DOS at the Fermi energy: 1.7 states/eV per cell
* mass density: 7.018 g/cm³
* spin magnetization: 0.01 μB per formula unit
* crystal system: orthorhombic

a b c (Å): 2.908 3.156 6.526
angles (deg): 90.00 90.00 90.00
Element x y z (fractional)
Ca 0.000 0.000 0.000
Be 0.000 0.000 0.492
Be 0.500 0.500 0.671
Pt 0.500 0.500 0.326

---

Result of the stability comparison: x) is the most stable of them.

---

w) This record from the Alexandria database describes CaBe2Pt at its PBEsol-relaxed geometry. The functional is SCAN.

* DOS at the Fermi energy: 3.8 states/eV per cell
* mass density: 6.151 g/cm³
* spin magnetization: 0.00 μB per formula unit
* crystal system: monoclinic

a b c (Å): 6.815 3.956 5.550
angles (deg): 90.00 113.98 90.00
Element x y z (fractional)
Ca 0.000 0.000 0.000
Ca 0.500 0.500 0.000
Be 0.177 0.000 0.534
Be 0.488 0.000 0.469
Be 0.677 0.500 0.534
Be 0.988 0.500 0.469
Pt 0.310 0.500 0.433
Pt 0.810 0.000 0.433

---

x) This record from the Alexandria database describes CaBe2Pt at its PBEsol-relaxed geometry. The functional is SCAN.

* DOS at the Fermi energy: 6.4 states/eV per cell
* mass density: 6.402 g/cm³
* spin magnetization: 0.00 μB per formula unit
* crystal system: trigonal

a b c (Å): 3.920 3.920 14.804
angles (deg): 90.00 90.00 120.00
Element x y z (fractional)
Ca 0.000 0.000 0.000
Ca 0.333 0.667 0.667
Ca 0.667 0.333 0.333
Be 0.000 0.000 0.187
Be 0.000 0.000 0.813
Be 0.333 0.667 0.480
Be 0.333 0.667 0.854
Be 0.667 0.333 0.146
Be 0.667 0.333 0.520
Pt 0.000 0.000 0.500
Pt 0.333 0.667 0.167
Pt 0.667 0.333 0.833

---

Result of the stability comparison: x) is the most stable of them.

---

w) This record from the Alexandria database describes CaBe2Rh at its PBEsol-relaxed geometry. The functional is SCAN.

* DOS at the Fermi energy: 1.6 states/eV per cell
* mass density: 4.462 g/cm³
* spin magnetization: 0.00 μB per formula unit
* crystal system: monoclinic

a b c (Å): 2.988 3.521 5.890
angles (deg): 90.00 104.75 90.00
Element x y z (fractional)
Ca 0.000 0.000 0.000
Be 0.237 0.000 0.481
Be 0.343 0.500 0.685
Rh 0.695 0.500 0.394

---

x) This record from the Alexandria database describes CaBe2Rh at its PBEsol-relaxed geometry. The functional is SCAN.

* DOS at the Fermi energy: 3.8 states/eV per cell
* mass density: 4.094 g/cm³
* spin magnetization: 0.00 μB per formula unit
* crystal system: monoclinic

a b c (Å): 6.625 3.840 5.596
angles (deg): 90.00 113.46 90.00
Element x y z (fractional)
Ca 0.000 0.000 0.000
Ca 0.500 0.500 0.000
Be 0.004 0.500 0.514
Be 0.184 0.000 0.552
Be 0.504 0.000 0.514
Be 0.684 0.500 0.552
Rh 0.308 0.500 0.427
Rh 0.808 0.000 0.427

---

Result of the stability comparison: x) is the most stable of them.

---

w) This record from the Alexandria database describes CaBe2Rh at its PBEsol-relaxed geometry. The functional is SCAN.

* DOS at the Fermi energy: 4.6 states/eV per cell
* mass density: 3.810 g/cm³
* spin magnetization: 0.00 μB per formula unit
* crystal system: tetragonal

a b c (Å): 4.297 4.297 15.205
angles (deg): 90.00 90.00 90.00
Element x y z (fractional)
Ca 0.000 0.250 0.375
Ca 0.000 0.750 0.625
Ca 0.500 0.250 0.125
Ca 0.500 0.750 0.875
Be 0.000 0.000 0.000
Be 0.000 0.500 0.000
Be 0.250 0.250 0.750
Be 0.250 0.750 0.250
Be 0.500 0.000 0.500
Be 0.500 0.500 0.500
Be 0.750 0.250 0.750
Be 0.750 0.750 0.250
Rh 0.000 0.250 0.875
Rh 0.000 0.750 0.125
Rh 0.500 0.250 0.625
Rh 0.500 0.750 0.375

---

x) This record from the Alexandria database describes CaBe2Rh at its PBEsol-relaxed geometry. The functional is SCAN.

* DOS at the Fermi energy: 12.2 states/eV per cell
* mass density: 4.840 g/cm³
* spin magnetization: 0.00 μB per formula unit
* crystal system: cubic

a b c (Å): 6.046 6.046 6.046
angles (deg): 90.00 90.00 90.00
Element x y z (fractional)
Ca 0.000 0.000 0.000
Ca 0.000 0.500 0.500
Ca 0.500 0.000 0.500
Ca 0.500 0.500 0.000
Be 0.250 0.250 0.250
Be 0.250 0.250 0.750
Be 0.250 0.750 0.250
Be 0.250 0.750 0.750
Be 0.750 0.250 0.250
Be 0.750 0.250 0.750
Be 0.750 0.750 0.250
Be 0.750 0.750 0.750
Rh 0.000 0.000 0.500
Rh 0.000 0.500 0.000
Rh 0.500 0.000 0.000
Rh 0.500 0.500 0.500

---

y) This record from the Alexandria database describes CaBe2Rh at its PBEsol-relaxed geometry. The functional is SCAN.

* DOS at the Fermi energy: 7.6 states/eV per cell
* mass density: 4.153 g/cm³
* spin magnetization: 0.00 μB per formula unit
* crystal system: trigonal

a b c (Å): 3.874 3.874 14.862
angles (deg): 90.00 90.00 120.00
Element x y z (fractional)
Ca 0.000 0.000 0.000
Ca 0.333 0.667 0.667
Ca 0.667 0.333 0.333
Be 0.000 0.000 0.187
Be 0.000 0.000 0.813
Be 0.333 0.667 0.479
Be 0.333 0.667 0.854
Be 0.667 0.333 0.146
Be 0.667 0.333 0.521
Rh 0.000 0.000 0.500
Rh 0.333 0.667 0.167
Rh 0.667 0.333 0.833

---

Result of the stability comparison: y) is the most stable of them.

---

w) This record from the Alexandria database describes CaBeRu3 at its PBEsol-relaxed geometry. The functional is SCAN.

* DOS at the Fermi energy: 5.2 states/eV per cell
* mass density: 7.829 g/cm³
* spin magnetization: 1.41 μB per formula unit
* crystal system: cubic

a b c (Å): 4.212 4.212 4.212
angles (deg): 90.00 90.00 90.00
Element x y z (fractional)
Ca 0.000 0.000 0.000
Be 0.500 0.500 0.500
Ru 0.000 0.500 0.500
Ru 0.500 0.000 0.500
Ru 0.500 0.500 0.000

---

x) This record from the Alexandria database describes CaBeRu3 at its PBEsol-relaxed geometry. The functional is SCAN.

* DOS at the Fermi energy: 3.7 states/eV per cell
* mass density: 6.446 g/cm³
* spin magnetization: 5.03 μB per formula unit
* crystal system: cubic

a b c (Å): 4.494 4.494 4.494
angles (deg): 90.00 90.00 90.00
Element x y z (fractional)
Ca 0.000 0.000 0.000
Be 0.500 0.500 0.500
Ru 0.000 0.000 0.500
Ru 0.000 0.500 0.000
Ru 0.500 0.000 0.000

---

Result of the stability comparison: w) is the most stable of them.

---

w) This record from the Alexandria database describes SrCaBe2 at its PBEsol-relaxed geometry. The functional is SCAN.

* DOS at the Fermi energy: 4.9 states/eV per cell
* mass density: 2.370 g/cm³
* spin magnetization: 0.09 μB per formula unit
* crystal system: trigonal

a b c (Å): 4.727 4.727 15.825
angles (deg): 90.00 90.00 120.00
Element x y z (fractional)
Sr 0.000 0.000 0.000
Sr 0.333 0.667 0.667
Sr 0.667 0.333 0.333
Ca 0.000 0.000 0.500
Ca 0.333 0.667 0.167
Ca 0.667 0.333 0.833
Be 0.000 0.000 0.188
Be 0.000 0.000 0.812
Be 0.333 0.667 0.479
Be 0.333 0.667 0.855
Be 0.667 0.333 0.145
Be 0.667 0.333 0.521

---

x) This record from the Alexandria database describes SrCaBe2 at its PBEsol-relaxed geometry. The functional is SCAN.

* DOS at the Fermi energy: 3.5 states/eV per cell
* mass density: 2.570 g/cm³
* spin magnetization: 0.00 μB per formula unit
* crystal system: tetragonal

a b c (Å): 3.680 3.680 6.953
angles (deg): 90.00 90.00 90.00
Element x y z (fractional)
Sr 0.000 0.000 0.000
Ca 0.000 0.000 0.500
Be 0.500 0.500 0.316
Be 0.500 0.500 0.684

---

Result of the stability comparison: w) is the most stable of them.

---

w) This record from the Alexandria database describes CaTaBe2 at its PBEsol-relaxed geometry. The functional is SCAN.

* DOS at the Fermi energy: 4.1 states/eV per cell
* mass density: 5.927 g/cm³
* spin magnetization: 0.34 μB per formula unit
* crystal system: orthorhombic

a b c (Å): 3.090 3.995 10.851
angles (deg): 90.00 90.00 90.00
Element x y z (fractional)
Ca 0.000 0.000 0.000
Ca 0.500 0.500 0.500
Ta 0.000 0.500 0.768
Ta 0.500 0.000 0.268
Be 0.000 0.000 0.627
Be 0.000 0.500 0.258
Be 0.500 0.000 0.758
Be 0.500 0.500 0.127

---

x) This record from the Alexandria database describes CaTaBe2 at its PBEsol-relaxed geometry. The functional is SCAN.

* DOS at the Fermi energy: 5.6 states/eV per cell
* mass density: 5.676 g/cm³
* spin magnetization: 0.00 μB per formula unit
* crystal system: monoclinic

a b c (Å): 8.472 2.787 5.984
angles (deg): 90.00 98.19 90.00
Element x y z (fractional)
Ca 0.000 0.000 0.000
Ca 0.500 0.500 0.000
Ta 0.000 0.500 0.500
Ta 0.500 0.000 0.500
Be 0.247 0.000 0.656
Be 0.253 0.500 0.344
Be 0.747 0.500 0.656
Be 0.753 0.000 0.344

---

Result of the stability comparison: w) is the most stable of them.

---

w) This record from the Alexandria database describes Ca2BeTe at its PBEsol-relaxed geometry. The functional is SCAN.

* DOS at the Fermi energy: 5.1 states/eV per cell
* mass density: 3.119 g/cm³
* spin magnetization: 0.61 μB per formula unit
* crystal system: monoclinic

a b c (Å): 7.464 4.286 7.620
angles (deg): 90.00 108.77 90.00
Element x y z (fractional)
Ca 0.248 0.000 0.242
Ca 0.252 0.500 0.758
Ca 0.748 0.500 0.242
Ca 0.752 0.000 0.758
Be 0.000 0.500 0.000
Be 0.500 0.000 0.000
Te 0.000 0.000 0.500
Te 0.500 0.500 0.500

---

x) This record from the Alexandria database describes Ca2BeTe at its PBEsol-relaxed geometry. The functional is SCAN.

* DOS at the Fermi energy: 3.0 states/eV per cell
* mass density: 3.084 g/cm³
* spin magnetization: 0.90 μB per formula unit
* crystal system: tetragonal

a b c (Å): 4.344 4.344 6.186
angles (deg): 90.00 90.00 90.00
Element x y z (fractional)
Ca 0.000 0.000 0.000
Ca 0.500 0.500 0.500
Be 0.000 0.000 0.500
Te 0.500 0.500 0.000

---

Result of the stability comparison: w) is the most stable of them.